# BaNiH2F8

A relaxed structure of BaNiH2F8 (PBE with a Hubbard U, Alexandria via LeMat-Bulk).

## Properties
DOS(E_F) ... 0.00 states/eV/f.u.
Calculated volume ... 13.4 Å³ per atom
M_tot ... 0.000 μB per cell
Energy ... -4.2537 eV per atom

a b c (Å): 5.076 5.086 7.289
angles (deg): 75.79 76.23 63.11
Space group P-1 (No. 2)
Inequivalent atoms, fractional coordinates:
Ba 0.000 0.000 0.000 x1
Ni 0.000 0.000 0.500 x1
H 0.277 0.275 0.243 x2
F 0.217 0.217 0.430 x2
F 0.227 0.760 0.682 x2
F 0.240 0.773 0.321 x2
F 0.316 0.315 0.093 x2